A relaxed structure of La2UGe3Rh4, computed with PBE.

Results
E ... -7.25 eV/atom

Cell: 4.2940 4.2940 10.8889 Å, 90.00 90.00 90.00°
With the nearest neighbours (Å) after each atom.
Space group P-4m2 (No. 115)
Symmetry-distinct sites (fractional):
La 0.0000 0.5000 0.2320 x2  6 Ge 3.27-3.62, 8 Rh 3.31-3.32, 2 U 3.62
U 0.0000 0.0000 0.5000 x1  4 Rh 2.68
Ge 0.0000 0.5000 0.8783 x2  5 Rh 2.51-2.52
Ge 0.5000 0.5000 0.5000 x1  4 Rh 2.68
Rh 0.0000 0.0000 0.0000 x1  4 Ge 2.52
Rh 0.0000 0.5000 0.6474 x2  3 Ge 2.51-2.68, 2 U 2.68
Rh 0.5000 0.5000 0.0000 x1  4 Ge 2.52

A relaxed structure of NbNiP2Cl, computed with PBE.

Results
E_form (uncorrected) ... 0.5602 eV/atom
E ... -5.14 eV/atom
Energy above the most stable polymorph in this dataset ... 0 meV/atom

Cell: 4.3854 4.3854 4.4099 Å, 90.00 90.00 90.00°
With the nearest neighbours (Å) after each atom.
Space group P4/mmm (No. 123)
Symmetry-distinct sites (fractional):
Nb 0.0000 0.0000 0.0000 x1  4 Cl 3.10, 8 P 3.11
Ni 0.5000 0.5000 0.5000 x1  4 P 2.19, 2 Cl 2.20
P 0.0000 0.5000 0.5000 x2  2 Ni 2.19
Cl 0.5000 0.5000 0.0000 x1  2 Ni 2.20

A relaxed structure of GaOs2F2, computed with PBE.

Results
E_form (uncorrected) ... 0.1691 eV/atom
E ... -5.68 eV/atom
Energy above the most stable polymorph in this dataset ... 314 meV/atom

Cell: 7.9610 7.9610 2.6490 Å, 90.00 90.00 90.00°
With the nearest neighbours (Å) after each atom.
Space group P4/mbm (No. 127)
Symmetry-distinct sites (fractional):
Ga 0.0000 0.0000 0.0000 x2  2 Ga 2.65
Os 0.0982 0.4018 0.0000 x4  2 F 2.17, 1 Os 2.21
F 0.2487 0.7487 0.5000 x4  2 Os 2.17